Compound: SmSn12Pd4
Source: the Alexandria database
Functional: PBE
Structure: relaxed

a b c (Å): 8.2250 8.2250 8.2250
angles (deg): 109.47 109.47 109.47
Positions (direct):
Sm1 0.0000 0.0000 0.0000
Sn1 0.1592 0.3427 0.5019
Sn2 0.1592 0.6573 0.8165
Sn3 0.1835 0.8408 0.3427
Sn4 0.3427 0.1835 0.8408
Sn5 0.3427 0.5019 0.1592
Sn6 0.4981 0.8408 0.6573
Sn7 0.5019 0.1592 0.3427
Sn8 0.6573 0.4981 0.8408
Sn9 0.6573 0.8165 0.1592
Sn10 0.8165 0.1592 0.6573
Sn11 0.8408 0.3427 0.1835
Sn12 0.8408 0.6573 0.4981
Pd1 0.0000 0.0000 0.5000
Pd2 0.0000 0.5000 0.0000
Pd3 0.5000 0.0000 0.0000
Pd4 0.5000 0.5000 0.5000

Properties
* E_tot: -4.65 eV/atom
* spin magnetization: 0.00 μB per cell
* energy of formation: -0.326 eV per atom
* crystal system: cubic